<1>
GGA-PBE ZrRuSe2N, optimized geometry; density of states at the Fermi level = 5.95 states/eV/f.u.; space group = P4/mmm
1.0
5.287 0.000 0.000
0.000 5.287 0.000
0.000 0.000 4.043
Se Ru Zr N
2 1 1 1
direct
0.500 0.000 0.000
0.000 0.500 0.000
0.500 0.500 0.500
0.000 0.000 0.000
0.000 0.000 0.500

=====

<2>
GGA-PBE ZrRuSe2N, optimized geometry; density of states at the Fermi level = 3.36 states/eV/f.u.; space group = P4/mmm
1.0
5.053 0.000 0.000
0.000 5.053 0.000
0.000 0.000 3.655
N Ru Se Zr
1 1 2 1
direct
0.000 0.000 0.500
0.000 0.000 0.000
0.500 0.000 0.000
0.000 0.500 0.000
0.500 0.500 0.500

=====

In order of decreasing stability: <2>, <1>.

=====

<1>
GGA-PBE ZrRuSeN2, optimized geometry; density of states at the Fermi level = 6.95 states/eV/f.u.; space group = P4/mmm
1.0
4.090 0.000 0.000
0.000 4.090 0.000
0.000 0.000 5.605
N Zr Ru Se
2 1 1 1
direct
0.500 0.000 0.000
0.000 0.500 0.000
0.000 0.000 0.000
0.500 0.500 0.500
0.000 0.000 0.500

=====

<2>
GGA-PBE ZrRuSeN2, optimized geometry; density of states at the Fermi level = 2.60 states/eV/f.u.; space group = P4/mmm
1.0
3.879 0.000 0.000
0.000 3.879 0.000
0.000 0.000 5.017
Zr N Ru Se
1 2 1 1
direct
0.500 0.500 0.500
0.000 0.500 0.000
0.500 0.000 0.000
0.000 0.000 0.000
0.000 0.000 0.500

=====

In order of decreasing stability: <2>, <1>.

=====

<1>
GGA-PBE SrSiRu2N, optimized geometry; density of states at the Fermi level = 5.92 states/eV/f.u.; space group = P4/mmm
1.0
-4.786 -1.464 0.041
1.662 -5.412 0.742
-0.151 0.634 4.962
Si Ru N Sr
1 2 1 1
direct
0.000 0.500 0.000
0.500 0.000 0.000
0.000 0.000 0.500
0.500 0.500 0.500
0.000 0.000 0.000

=====

<2>
GGA-PBE SrSiRu2N, optimized geometry; density of states at the Fermi level = 4.16 states/eV/f.u.; space group = P4/mmm
1.0
-2.218 -1.873 2.862
4.065 -2.220 1.698
0.643 3.122 2.541
Ru N Si Sr
2 1 1 1
direct
0.000 0.000 0.500
0.500 0.000 0.000
0.000 0.000 0.000
0.500 0.500 0.500
0.000 0.500 0.000

=====

In order of decreasing stability: <2>, <1>.

=====

<1>
GGA-PBE SiTeRuN2, optimized geometry; density of states at the Fermi level = 3.93 states/eV/f.u.; space group = P4/mmm
1.0
3.870 0.000 0.000
0.000 3.870 0.000
0.000 0.000 5.620
Te Si N Ru
1 1 2 1
direct
0.000 0.000 0.500
0.500 0.500 0.500
0.500 0.000 0.000
0.000 0.500 0.000
0.000 0.000 0.000

=====

<2>
GGA-PBE SiTeRuN2, optimized geometry; density of states at the Fermi level = 4.03 states/eV/f.u.; space group = P4/mmm
1.0
-2.938 0.872 -1.762
-1.049 -3.374 0.080
-3.671 1.301 6.763
Si N Ru Te
1 2 1 1
direct
0.000 0.000 0.000
0.000 0.500 0.000
0.500 0.000 0.000
0.500 0.500 0.500
0.000 0.000 0.500

=====

In order of decreasing stability: <2>, <1>.

=====

<1>
GGA-PBE SmRuN, optimized geometry; density of states at the Fermi level = 1.31 states/eV/f.u.; space group = P3m1
1.0
4.919 0.000 0.000
0.000 3.372 0.000
0.000 -1.686 2.921
Ru N Sm
1 1 1
direct
0.131 0.000 0.000
0.283 0.667 0.333
0.586 0.333 0.667

=====

<2>
GGA-PBE SmRuN, optimized geometry; density of states at the Fermi level = 2.75 states/eV/f.u.; space group = Pnma
1.0
2.993 0.000 0.000
0.000 5.748 0.000
0.000 0.000 11.067
N Ru Sm
4 4 4
direct
0.750 0.308 0.172
0.750 0.808 0.328
0.250 0.192 0.672
0.250 0.692 0.828
0.750 0.847 0.926
0.750 0.347 0.574
0.250 0.153 0.074
0.250 0.653 0.426
0.750 0.845 0.657
0.250 0.155 0.343
0.750 0.345 0.843
0.250 0.655 0.157

=====

In order of decreasing stability: <2>, <1>.

=====

<1>
GGA-PBE Sn3RuN, optimized geometry; density of states at the Fermi level = 6.88 states/eV/f.u.; space group = Pm-3m
1.0
4.627 0.000 0.000
0.000 4.627 0.000
0.000 0.000 4.627
N Ru Sn
1 1 3
direct
0.000 0.000 0.000
0.500 0.500 0.500
0.000 0.500 0.000
0.500 0.000 0.000
0.000 0.000 0.500

=====

<2>
GGA-PBE Sn3RuN, optimized geometry; density of states at the Fermi level = 3.78 states/eV/f.u.; space group = Pm-3m
1.0
5.173 0.000 0.000
0.000 5.173 0.000
0.000 0.000 5.173
Sn N Ru
3 1 1
direct
0.500 0.000 0.000
0.000 0.000 0.500
0.000 0.500 0.000
0.500 0.500 0.500
0.000 0.000 0.000

=====

In order of decreasing stability: <1>, <2>.

=====

<1>
GGA-PBE SrRu3N, optimized geometry; density of states at the Fermi level = 4.15 states/eV/f.u.; space group = Pm-3m
1.0
-0.535 -0.999 -4.069
-0.552 -4.049 1.067
-4.153 0.667 0.382
Ru N Sr
3 1 1
direct
0.500 0.000 0.000
0.000 0.500 0.000
0.000 0.000 0.500
0.000 0.000 0.000
0.500 0.500 0.500

=====

<2>
GGA-PBE SrRu3N, optimized geometry; density of states at the Fermi level = 6.56 states/eV/f.u.; space group = Pm-3m
1.0
5.035 0.000 0.000
0.000 5.035 0.000
0.000 0.000 5.035
N Ru Sr
1 3 1
direct
0.500 0.500 0.500
0.500 0.000 0.000
0.000 0.500 0.000
0.000 0.000 0.500
0.000 0.000 0.000

=====

In order of decreasing stability: <1>, <2>.

=====

<1>
GGA-PBE SrTe2RuN, optimized geometry; density of states at the Fermi level = 8.05 states/eV/f.u.; space group = P4/mmm
1.0
6.147 0.000 0.000
0.000 6.147 0.000
0.000 0.000 4.698
Te Sr Ru N
2 1 1 1
direct
0.500 0.000 0.000
0.000 0.500 0.000
0.000 0.000 0.000
0.500 0.500 0.500
0.000 0.000 0.500

=====

<2>
GGA-PBE SrTe2RuN, optimized geometry; density of states at the Fermi level = 2.40 states/eV/f.u.; space group = P4/mmm
1.0
5.693 0.000 0.000
0.000 5.693 0.000
0.000 0.000 3.727
Te N Ru Sr
2 1 1 1
direct
0.500 0.000 0.000
0.000 0.500 0.000
0.000 0.000 0.500
0.000 0.000 0.000
0.500 0.500 0.500

=====

In order of decreasing stability: <2>, <1>.

=====

<1>
GGA-PBE TaTe2RuN, optimized geometry; density of states at the Fermi level = 3.84 states/eV/f.u.; space group = P4/mmm
1.0
5.354 0.000 0.000
0.000 5.354 0.000
0.000 0.000 3.634
Te N Ta Ru
2 1 1 1
direct
0.500 0.000 0.000
0.000 0.500 0.000
0.000 0.000 0.500
0.500 0.500 0.500
0.000 0.000 0.000

=====

<2>
GGA-PBE TaTe2RuN, optimized geometry; density of states at the Fermi level = 6.98 states/eV/f.u.; space group = P4/mmm
1.0
-4.519 -1.731 -2.613
-1.215 -3.258 4.261
-2.013 2.842 1.599
N Te Ta Ru
1 2 1 1
direct
0.000 0.000 0.500
0.500 0.000 0.000
0.000 0.500 0.000
0.000 0.000 0.000
0.500 0.500 0.500

=====

In order of decreasing stability: <1>, <2>.

=====

<1>
GGA-PBE TcRu3N, optimized geometry; density of states at the Fermi level = 6.18 states/eV/f.u.; space group = Pm-3m
1.0
-2.052 -2.007 3.688
-1.966 -3.168 -2.818
3.710 -2.789 0.547
Ru Tc N
3 1 1
direct
0.000 0.000 0.500
0.000 0.500 0.000
0.500 0.000 0.000
0.000 0.000 0.000
0.500 0.500 0.500

=====

<2>
GGA-PBE TcRu3N, optimized geometry; density of states at the Fermi level = 5.59 states/eV/f.u.; space group = Pm-3m
1.0
4.015 0.000 0.000
0.000 4.015 0.000
0.000 0.000 4.015
Ru N Tc
3 1 1
direct
0.000 0.000 0.500
0.000 0.500 0.000
0.500 0.000 0.000
0.000 0.000 0.000
0.500 0.500 0.500

=====

In order of decreasing stability: <2>, <1>.

=====

<1>
GGA-PBE TeRu3N, optimized geometry; density of states at the Fermi level = 3.77 states/eV/f.u.; space group = Pm-3m
1.0
4.881 0.000 0.000
0.000 4.881 0.000
0.000 0.000 4.881
N Ru Te
1 3 1
direct
0.500 0.500 0.500
0.500 0.000 0.000
0.000 0.500 0.000
0.000 0.000 0.500
0.000 0.000 0.000

=====

<2>
GGA-PBE TeRu3N, optimized geometry; density of states at the Fermi level = 4.91 states/eV/f.u.; space group = Pm-3m
1.0
4.149 0.000 0.000
0.000 4.149 0.000
0.000 0.000 4.149
Te N Ru
1 1 3
direct
0.500 0.500 0.500
0.000 0.000 0.000
0.000 0.500 0.000
0.500 0.000 0.000
0.000 0.000 0.500

=====

In order of decreasing stability: <2>, <1>.

=====

<1>
GGA-PBE TeRu2N, optimized geometry; density of states at the Fermi level = 4.01 states/eV/f.u.; space group = Fm-3m
1.0
-4.264 -0.482 0.328
-2.636 2.879 -1.812
-2.315 -1.083 -3.462
N Ru Te
1 2 1
direct
0.000 0.000 0.000
0.750 0.750 0.750
0.250 0.250 0.250
0.500 0.500 0.500

=====

<2>
GGA-PBE TeRu2N, optimized geometry; density of states at the Fermi level = 1.01 states/eV/f.u.; space group = I-42d
1.0
-0.901 4.370 2.466
-3.266 1.391 -3.659
-6.025 0.577 2.046
Te N Ru
2 2 4
direct
0.000 0.000 0.000
0.750 0.250 0.500
0.250 0.750 0.500
0.500 0.500 0.000
0.875 0.764 0.750
0.375 0.486 0.750
0.514 0.125 0.250
0.236 0.625 0.250

=====

In order of decreasing stability: <2>, <1>.